1.
YHf2Al2 | PBE | optimized geometry

Results
Total DFT energy (no corrections)   -6.96 eV/atom

abc: 7.054 7.054 7.054
angles: 145.20 145.20 50.03
Positions (direct):
Al (0.401, 0.401, 0.000)
Al (0.599, 0.599, 0.000)
Hf (0.750, 0.250, 0.500)
Hf (0.250, 0.750, 0.500)
Y (0.000, 0.000, 0.000)



2.
AgPbSeF | PBE | optimized geometry

Results
Total DFT energy (no corrections)   -3.85 eV/atom

abc: 9.600 19.338 4.114
angles: 90.00 90.00 90.00
Positions (direct):
Ag (0.583, 0.058, 0.000)
Ag (0.830, 0.137, 0.000)
Ag (0.330, 0.363, 0.000)
Ag (0.083, 0.442, 0.000)
Ag (0.917, 0.558, 0.000)
Ag (0.670, 0.637, 0.000)
Ag (0.170, 0.863, 0.000)
Ag (0.417, 0.942, 0.000)
F (0.491, 0.104, 0.500)
F (0.996, 0.143, 0.500)
F (0.496, 0.357, 0.500)
F (0.991, 0.396, 0.500)
F (0.009, 0.604, 0.500)
F (0.504, 0.643, 0.500)
F (0.004, 0.857, 0.500)
F (0.509, 0.896, 0.500)
Pb (0.230, 0.094, 0.500)
Pb (0.529, 0.234, 0.500)
Pb (0.029, 0.266, 0.500)
Pb (0.730, 0.406, 0.500)
Pb (0.270, 0.594, 0.500)
Pb (0.971, 0.734, 0.500)
Pb (0.471, 0.766, 0.500)
Pb (0.770, 0.906, 0.500)
Se (0.821, 0.004, 0.000)
Se (0.243, 0.239, 0.000)
Se (0.743, 0.261, 0.000)
Se (0.321, 0.496, 0.000)
Se (0.679, 0.504, 0.000)
Se (0.257, 0.739, 0.000)
Se (0.757, 0.761, 0.000)
Se (0.179, 0.996, 0.000)